Entry 1:
A relaxed structure of KSr5, computed with PBEsol.

Results
- E above lowest polymorph: 18 meV per atom
- Calculated formation energy: 0.33 eV per formula unit
- Uncorrected energy: -20.0 eV for the cell shown
- Size of the total moment: 0.00 Bohr magnetons per cell
- DOS(E_F): 1.037 states/eV/atom

abc: 6.952 4.230 22.180
angles: 90.00 90.00 90.00
Space group Amm2 (No. 38)
Asymmetric unit:
K: 0.000 0.000 0.000 x2
Sr: 0.000 0.000 0.330 x2
Sr: 0.000 0.000 0.669 x2
Sr: 0.500 0.000 0.113 x2
Sr: 0.500 0.000 0.441 x2
Sr: 0.500 0.000 0.777 x2

=====

Entry 2:
A relaxed structure of K4Sr, computed with PBEsol.

Results
- E above lowest polymorph: 0 meV per atom
- Calculated formation energy: 0.47 eV per formula unit
- Uncorrected energy: -11.8 eV for the cell shown
- Size of the total moment: 0.00 Bohr magnetons per cell
- DOS(E_F): 0.928 states/eV/atom

abc: 10.217 10.217 6.308
angles: 90.00 90.00 90.00
Space group I4/m (No. 87)
Asymmetric unit:
K: 0.100 0.298 0.000 x8
Sr: 0.000 0.000 0.500 x2

=====

Entry 3:
A relaxed structure of K4Sr5, computed with PBEsol.

Results
- Calculated formation energy: 0.86 eV per formula unit
- Uncorrected energy: -25.8 eV for the cell shown
- Size of the total moment: 0.00 Bohr magnetons per cell
- DOS(E_F): 0.993 states/eV/atom

abc: 14.877 14.877 4.682
angles: 90.00 90.00 90.00
Space group I4/mmm (No. 139)
Asymmetric unit:
K: 0.000 0.333 0.000 x8
Sr: 0.000 0.000 0.000 x2
Sr: 0.163 0.163 0.500 x8

=====

Entry 4:
A relaxed structure of K4Sr, computed with PBEsol.

Results
- E above lowest polymorph: 206 meV per atom
- Calculated formation energy: 1.50 eV per formula unit
- Uncorrected energy: -9.8 eV for the cell shown
- Size of the total moment: 0.00 Bohr magnetons per cell
- DOS(E_F): 0.975 states/eV/atom

abc: 9.646 9.646 9.646
angles: 90.00 90.00 90.00
Space group Im-3m (No. 229)
Asymmetric unit:
K: 0.250 0.250 0.250 x8
Sr: 0.000 0.000 0.000 x2